No. 1
# GGA-PBE K3Tl4In, relaxed
# - DFT formation energy: -0.038 eV/atom
# - Distance to the lowest polymorph of the same formula: 27 meV/atom
# - Size of the total moment: 0.00 μB/f.u.
# - Calculated volume: 327.1 Å³/cell
data_K3Tl4In
_chemical_formula_sum 'K3 Tl4 In1'
_space_group_name_H-M_alt 'P 1'
_space_group_IT_number 1
_cell_length_a 7.296
_cell_length_b 5.780
_cell_length_c 9.488
_cell_angle_alpha 115.38
_cell_angle_beta 112.61
_cell_angle_gamma 90.00
loop_
_space_group_symop_operation_xyz
'x,y,z'
loop_
_atom_site_label
_atom_site_type_symbol
_atom_site_fract_x
_atom_site_fract_y
_atom_site_fract_z
Tl1 Tl 0.551 0.077 0.852
Tl2 Tl 0.699 0.923 0.148
Tl3 Tl 0.667 0.533 0.318
Tl4 Tl 0.349 0.467 0.682
K1 K 0.803 0.250 0.612
K2 K 0.076 0.000 0.000
K3 K 0.191 0.750 0.388
In1 In 0.316 0.500 0.000

No. 2
# GGA-PBE Nd3ZnAg, relaxed
# - DFT formation energy: -0.069 eV/atom
# - Distance to the lowest polymorph of the same formula: 144 meV/atom
# - Size of the total moment: 0.00 μB/f.u.
# - Calculated volume: 301.3 Å³/cell
data_Nd3ZnAg
_chemical_formula_sum 'Nd6 Zn2 Ag2'
_space_group_name_H-M_alt 'P 1'
_space_group_IT_number 1
_cell_length_a 4.560
_cell_length_b 7.243
_cell_length_c 9.122
_cell_angle_alpha 90.00
_cell_angle_beta 90.00
_cell_angle_gamma 90.00
loop_
_space_group_symop_operation_xyz
'x,y,z'
loop_
_atom_site_label
_atom_site_type_symbol
_atom_site_fract_x
_atom_site_fract_y
_atom_site_fract_z
Zn1 Zn 0.750 0.250 0.163
Zn2 Zn 0.250 0.750 0.837
Nd1 Nd 0.750 0.993 0.700
Nd2 Nd 0.250 0.250 0.949
Nd3 Nd 0.750 0.507 0.700
Nd4 Nd 0.250 0.493 0.300
Nd5 Nd 0.750 0.750 0.051
Nd6 Nd 0.250 0.007 0.300
Ag1 Ag 0.750 0.750 0.417
Ag2 Ag 0.250 0.250 0.583

No. 3
# GGA-PBE Y2GePb2, relaxed
# - DFT formation energy: -0.327 eV/atom
# - Distance to the lowest polymorph of the same formula: 93 meV/atom
# - Size of the total moment: 0.00 μB/f.u.
# - Calculated volume: 279.1 Å³/cell
data_Y2GePb2
_chemical_formula_sum 'Y4 Ge2 Pb4'
_space_group_name_H-M_alt 'P 1'
_space_group_IT_number 1
_cell_length_a 7.902
_cell_length_b 7.902
_cell_length_c 4.470
_cell_angle_alpha 90.00
_cell_angle_beta 90.00
_cell_angle_gamma 90.00
loop_
_space_group_symop_operation_xyz
'x,y,z'
loop_
_atom_site_label
_atom_site_type_symbol
_atom_site_fract_x
_atom_site_fract_y
_atom_site_fract_z
Pb1 Pb 0.636 0.136 0.000
Pb2 Pb 0.136 0.364 0.000
Pb3 Pb 0.864 0.636 0.000
Pb4 Pb 0.364 0.864 0.000
Y1 Y 0.673 0.827 0.500
Y2 Y 0.827 0.327 0.500
Y3 Y 0.173 0.673 0.500
Y4 Y 0.327 0.173 0.500
Ge1 Ge 0.500 0.500 0.000
Ge2 Ge 0.000 0.000 0.000

No. 4
# GGA-PBE Li3NpO4, relaxed
# - Uncorrected formation energy: -2235 meV/atom
# - Distance to the lowest polymorph of the same formula: 9 meV/atom
# - Size of the total moment: 2.00 μB/f.u.
# - Calculated volume: 80.3 Å³/cell
data_Li3NpO4
_chemical_formula_sum 'Li3 Np1 O4'
_space_group_name_H-M_alt 'P 1'
_space_group_IT_number 1
_cell_length_a 4.374
_cell_length_b 4.374
_cell_length_c 4.374
_cell_angle_alpha 98.88
_cell_angle_beta 98.89
_cell_angle_gamma 98.88
loop_
_space_group_symop_operation_xyz
'x,y,z'
loop_
_atom_site_label
_atom_site_type_symbol
_atom_site_fract_x
_atom_site_fract_y
_atom_site_fract_z
O1 O 0.259 0.692 0.259
O2 O 0.259 0.259 0.692
O3 O 0.825 0.825 0.825
O4 O 0.692 0.259 0.259
Np1 Np 0.175 0.175 0.175
Li1 Li 0.340 0.725 0.725
Li2 Li 0.725 0.725 0.340
Li3 Li 0.725 0.340 0.725

No. 5
# GGA-PBE Pr2Ti3Cl2O8, relaxed
# - Uncorrected formation energy: -3040 meV/atom
# - Size of the total moment: 0.00 μB/f.u.
# - Calculated volume: 897.6 Å³/cell
data_Pr2Ti3Cl2O8
_chemical_formula_sum 'Pr8 Ti12 Cl8 O32'
_space_group_name_H-M_alt 'P 1'
_space_group_IT_number 1
_cell_length_a 5.066
_cell_length_b 11.754
_cell_length_c 15.074
_cell_angle_alpha 90.00
_cell_angle_beta 90.00
_cell_angle_gamma 90.00
loop_
_space_group_symop_operation_xyz
'x,y,z'
loop_
_atom_site_label
_atom_site_type_symbol
_atom_site_fract_x
_atom_site_fract_y
_atom_site_fract_z
O1 O 0.075 0.818 0.419
O2 O 0.925 0.182 0.581
O3 O 0.575 0.682 0.081
O4 O 0.249 0.700 0.219
O5 O 0.062 0.045 0.424
O6 O 0.251 0.200 0.719
O7 O 0.751 0.300 0.781
O8 O 0.425 0.818 0.581
O9 O 0.751 0.800 0.719
O10 O 0.172 0.968 0.265
O11 O 0.925 0.682 0.919
O12 O 0.562 0.455 0.076
O13 O 0.249 0.200 0.281
O14 O 0.328 0.968 0.735
O15 O 0.075 0.318 0.081
O16 O 0.828 0.532 0.765
O17 O 0.425 0.318 0.919
O18 O 0.938 0.955 0.576
O19 O 0.438 0.045 0.576
O20 O 0.062 0.545 0.076
O21 O 0.172 0.468 0.235
O22 O 0.575 0.182 0.419
O23 O 0.938 0.455 0.924
O24 O 0.438 0.545 0.924
O25 O 0.672 0.032 0.265
O26 O 0.251 0.700 0.781
O27 O 0.672 0.532 0.235
O28 O 0.562 0.955 0.424
O29 O 0.749 0.300 0.219
O30 O 0.828 0.032 0.735
O31 O 0.749 0.800 0.281
O32 O 0.328 0.468 0.765
Pr1 Pr 0.023 0.363 0.664
Pr2 Pr 0.977 0.137 0.164
Pr3 Pr 0.477 0.363 0.336
Pr4 Pr 0.977 0.637 0.336
Pr5 Pr 0.523 0.637 0.664
Pr6 Pr 0.523 0.137 0.836
Pr7 Pr 0.477 0.863 0.164
Pr8 Pr 0.023 0.863 0.836
Cl1 Cl 0.980 0.400 0.421
Cl2 Cl 0.520 0.900 0.921
Cl3 Cl 0.020 0.100 0.921
Cl4 Cl 0.480 0.100 0.079
Cl5 Cl 0.980 0.900 0.079
Cl6 Cl 0.020 0.600 0.579
Cl7 Cl 0.520 0.400 0.579
Cl8 Cl 0.480 0.600 0.421
Ti1 Ti 0.871 0.423 0.161
Ti2 Ti 0.371 0.077 0.339
Ti3 Ti 0.871 0.923 0.339
Ti4 Ti 0.250 0.908 0.500
Ti5 Ti 0.129 0.077 0.661
Ti6 Ti 0.750 0.092 0.500
Ti7 Ti 0.371 0.577 0.161
Ti8 Ti 0.629 0.923 0.661
Ti9 Ti 0.129 0.577 0.839
Ti10 Ti 0.629 0.423 0.839
Ti11 Ti 0.750 0.592 0.000
Ti12 Ti 0.250 0.408 0.000

No. 6
# GGA-PBE Rb2MnCoBr6, relaxed
# - Uncorrected formation energy: -987 meV/atom
# - Distance to the lowest polymorph of the same formula: 28 meV/atom
# - Size of the total moment: 2.00 μB/f.u.
# - Calculated volume: 294.1 Å³/cell
data_Rb2MnCoBr6
_chemical_formula_sum 'Rb2 Mn1 Co1 Br6'
_space_group_name_H-M_alt 'P 1'
_space_group_IT_number 1
_cell_length_a 7.467
_cell_length_b 7.467
_cell_length_c 7.464
_cell_angle_alpha 59.98
_cell_angle_beta 59.98
_cell_angle_gamma 90.00
loop_
_space_group_symop_operation_xyz
'x,y,z'
loop_
_atom_site_label
_atom_site_type_symbol
_atom_site_fract_x
_atom_site_fract_y
_atom_site_fract_z
Br1 Br 0.753 0.247 0.000
Br2 Br 0.753 0.753 0.000
Br3 Br 0.753 0.753 0.495
Br4 Br 0.247 0.247 0.505
Br5 Br 0.247 0.753 0.000
Br6 Br 0.247 0.247 0.000
Mn1 Mn 0.500 0.500 0.000
Rb1 Rb 0.750 0.250 0.500
Rb2 Rb 0.250 0.750 0.500
Co1 Co 0.000 0.000 0.000